Entry 1:
RbYOsPd2: optimized geometry, PBE.

abc: 4.8304 5.4915 4.8304
angles: 90.00 90.00 90.00
Last column: magnetic moment on the atom in μB.
Atoms (fractional coordinates):
Pd1 0.0000 0.0000 0.5000  0.02
Os1 0.5000 0.5000 0.5000  1.81
Rb1 0.0000 0.0000 0.0000  -0.03
Y1 0.0000 0.5000 0.0000  -0.21
Pd2 0.5000 0.0000 0.0000  0.06

Volume in Å³ per cell: 128
Formation energy from the elements in eV per atom: 2.10
Crystal system: tetragonal

Entry 2:
Re2OsPd: optimized geometry, PBE.

abc: 2.7509 2.7509 9.2026
angles: 81.40 81.40 60.00
Atoms (fractional coordinates):
Re1 0.7478 0.7478 0.7565
Os1 0.0000 0.0000 0.0000
Re2 0.2522 0.2522 0.2435
Pd1 0.5000 0.5000 0.5000

Volume in Å³ per cell: 59
Distance to the lowest polymorph of the same formula in meV per atom: 0
Formation energy from the elements in eV per atom: 0.09
Crystal system: trigonal